Here is an optimized crystal structure of Ga2Ir2Pb from the Alexandria database. Energies are from PBE.

It has space group I4/mmm (No. 139), with a = 3.8407 Å, b = 3.8407 Å, c = 12.2713 Å, α = 90.00°, β = 90.00° and γ = 90.00°. The inequivalent atoms are Ga at (0.0000, 0.5000, 0.2500), Ir at (0.0000, 0.0000, 0.1120) and Pb at (0.0000, 0.0000, 0.5000).

Its crystal system is tetragonal. The value obtained for the formation enthalpy at 0 K is -0.1521 eV per atom. The calculation puts the energy above the most stable polymorph in this dataset at 0.0 meV per atom. The value obtained for the theoretical density is 13.41 g/cm3.


Here is an optimized crystal structure of Ga2Ir2Pb from the Alexandria database. Energies are from PBE.

It has space group P4/mbm (No. 127), with a = 7.6501 Å, b = 7.6501 Å, c = 2.9412 Å, α = 90.00°, β = 90.00° and γ = 90.00°. The inequivalent atoms are Ga at (0.1452, 0.3548, 0.0000), Ir at (0.1466, 0.6466, 0.5000) and Pb at (0.0000, 0.0000, 0.5000).

Its crystal system is tetragonal. The value obtained for the formation enthalpy at 0 K is -0.1363 eV per atom. The calculation puts the energy above the most stable polymorph in this dataset at 15.8 meV per atom. The value obtained for the theoretical density is 14.11 g/cm3.